(1)
First-principles (PBE) data for a relaxed structure of Pb2SeCl, as listed in Alexandria.

```
data_Pb2SeCl
_cell_length_a 8.671
_cell_length_b 3.955
_cell_length_c 7.099
_cell_angle_alpha 90.00
_cell_angle_beta 103.74
_cell_angle_gamma 90.00
_symmetry_space_group_name_H-M 'C 1 2/m 1'
_symmetry_Int_Tables_number 12
_symmetry_space_group_name_Hall '-C 2y'
loop_
_atom_site_label
_atom_site_fract_x
_atom_site_fract_y
_atom_site_fract_z
_atom_site_occupancy
Pb1 0.242 0.000 0.231 1
Se1 0.000 0.500 0.000 1
Cl1 0.000 0.000 0.500 1
```

Calculated values
- DFT total energy (eV/f.u.) = -15.08
- E_form (uncorrected) (eV/atom) = -0.582
- crystal system = monoclinic
- offset from the most stable computed form (kJ/mol of atoms) = 0.0

***

(2)
First-principles (PBE) data for a relaxed structure of BaLi2Zn2, as listed in Alexandria.

```
data_BaLi2Zn2
_cell_length_a 4.404
_cell_length_b 4.404
_cell_length_c 13.052
_cell_angle_alpha 90.00
_cell_angle_beta 90.00
_cell_angle_gamma 90.00
_symmetry_space_group_name_H-M 'I 4/m m m'
_symmetry_Int_Tables_number 139
_symmetry_space_group_name_Hall '-I 4 2'
loop_
_atom_site_label
_atom_site_fract_x
_atom_site_fract_y
_atom_site_fract_z
_atom_site_occupancy
Ba1 0.000 0.000 0.000 1
Li1 0.000 0.500 0.250 1
Zn1 0.000 0.000 0.385 1
```

Calculated values
- DFT total energy (eV/f.u.) = -8.77
- crystal system = tetragonal
- offset from the most stable computed form (kJ/mol of atoms) = 0.9

***

(3)
First-principles (PBE) data for a relaxed structure of CoSiNi2, as listed in Alexandria.

```
data_CoSiNi2
_cell_length_a 4.897
_cell_length_b 6.949
_cell_length_c 2.563
_cell_angle_alpha 90.00
_cell_angle_beta 90.00
_cell_angle_gamma 90.00
_symmetry_space_group_name_H-M 'C m m m'
_symmetry_Int_Tables_number 65
_symmetry_space_group_name_Hall '-C 2 2'
loop_
_atom_site_label
_atom_site_fract_x
_atom_site_fract_y
_atom_site_fract_z
_atom_site_occupancy
Co1 0.000 0.000 0.000 1
Si1 0.000 0.500 0.000 1
Ni1 0.250 0.250 0.500 1
```

Calculated values
- DFT total energy (eV/f.u.) = -25.13
- E_form (uncorrected) (eV/atom) = -0.259
- crystal system = orthorhombic

***

(4)
First-principles (PBE) data for a relaxed structure of VZn3Ni4, as listed in Alexandria.

```
data_VZn3Ni4
_cell_length_a 2.637
_cell_length_b 2.637
_cell_length_c 13.866
_cell_angle_alpha 90.00
_cell_angle_beta 90.00
_cell_angle_gamma 90.00
_symmetry_space_group_name_H-M 'P 4/m m m'
_symmetry_Int_Tables_number 123
_symmetry_space_group_name_Hall '-P 4 2'
loop_
_atom_site_label
_atom_site_fract_x
_atom_site_fract_y
_atom_site_fract_z
_atom_site_occupancy
V1 0.000 0.000 0.000 1
Zn1 0.000 0.000 0.253 1
Zn2 0.000 0.000 0.500 1
Ni1 0.500 0.500 0.126 1
Ni2 0.500 0.500 0.376 1
```

Calculated values
- DFT total energy (eV/f.u.) = -37.90
- crystal system = tetragonal

***

Which of these has the lowest DFT total energy?
VZn3Ni4

***

What is the formula in the first record?
Pb2SeCl

***

Which of these has the lowest DFT total energy?
VZn3Ni4

***

What is the DFT total energy in the second record?
-8.77 eV/f.u.